Below is crystalline CaHoW2O6 at its relaxed geometry, with properties calculated at the PBE with a Hubbard U level.

Its energy is -152.31 eV per cell.

The space group is Pc (No. 7) and the conventional cell measures 5.5120, 5.7851 and 9.7834 Å, with angles of 90.00, 124.05 and 90.00 degrees. Symmetry generates all atoms from Ca at (0.0000, 0.1984, 0.0000), Ho at (0.4627, 0.3112, 0.4972), W at (0.2354, 0.2473, 0.7483), W at (0.7355, 0.2485, 0.2476), O at (0.0171, 0.4527, 0.8163), O at (0.1246, 0.0556, 0.3116), O at (0.3632, 0.4640, 0.1797), O at (0.4730, 0.0633, 0.6788), O at (0.6001, 0.3178, 0.9948) and O at (0.8517, 0.1934, 0.5010).